# 1
{
  "formula": "Sm2Th2Bi2C",
  "functional": "GGA-PBE",
  "state": "relaxed",
  "formation_enthalpy_0k_ev_per_atom": -0.52,
  "spacegroup": "No. 139",
  "dos_ef_per_ev_cell": 6.4,
  "dft_energy_ev_per_atom": -6.4139,
  "lattice_angstrom": [[-2.4802, 2.4802, 8.4295], [2.4802, -2.4802, 8.4295], [2.4802, 2.4802, -8.4295]],
  "species": ["Sm", "Sm", "Th", "Th", "Bi", "Bi", "C"],
  "fractional_positions": [[0.1574, 0.1574, 0.0000], [0.8426, 0.8426, 0.0000], [0.0000, 0.5000, 0.5000], [0.5000, 0.0000, 0.5000], [0.3538, 0.3538, 0.0000], [0.6462, 0.6462, 0.0000], [0.0000, 0.0000, 0.0000]]
}

# 2
{
  "formula": "Sm2TmBiC",
  "functional": "GGA-PBE",
  "state": "relaxed",
  "formation_enthalpy_0k_ev_per_atom": -0.50,
  "spacegroup": "No. 123",
  "dos_ef_per_ev_cell": 3.2,
  "dft_energy_ev_per_atom": -5.9000,
  "lattice_angstrom": [[5.0790, 0.0000, 0.0000], [0.0000, 5.0790, 0.0000], [0.0000, 0.0000, 4.8232]],
  "species": ["Sm", "Sm", "Tm", "Bi", "C"],
  "fractional_positions": [[0.0000, 0.5000, 0.0000], [0.5000, 0.0000, 0.0000], [0.0000, 0.0000, 0.5000], [0.5000, 0.5000, 0.5000], [0.0000, 0.0000, 0.0000]]
}

# 3
{
  "formula": "Sm2Tm5Bi3C2",
  "functional": "GGA-PBE",
  "state": "relaxed",
  "formation_enthalpy_0k_ev_per_atom": -0.64,
  "spacegroup": "No. 139",
  "dos_ef_per_ev_cell": 8.6,
  "dft_energy_ev_per_atom": -5.7946,
  "lattice_angstrom": [[-2.4039, 2.4039, 13.0017], [2.4039, -2.4039, 13.0017], [2.4039, 2.4039, -13.0017]],
  "species": ["Sm", "Sm", "Tm", "Tm", "Tm", "Tm", "Tm", "Bi", "Bi", "Bi", "C", "C"],
  "fractional_positions": [[0.1926, 0.1926, 0.0000], [0.8074, 0.8074, 0.0000], [0.0000, 0.0000, 0.0000], [0.0922, 0.5922, 0.5000], [0.4078, 0.9078, 0.5000], [0.5922, 0.0922, 0.5000], [0.9078, 0.4078, 0.5000], [0.3202, 0.3202, 0.0000], [0.5000, 0.5000, 0.0000], [0.6798, 0.6798, 0.0000], [0.0931, 0.0931, 0.0000], [0.9069, 0.9069, 0.0000]]
}